# 1
Density functional theory data (PBE) for an optimized crystal structure of Li2MgBr4.

Cell: 7.9713 7.9860 10.5556 Å, 90.00 90.00 90.00°
Space group Imma (No. 74)
Symmetry-distinct sites (fractional):
1 Li 0.0000 0.0000 0.0000 [4 per cell]
2 Li 0.2500 0.2500 0.2500 [4 per cell]
3 Mg 0.2500 0.2500 0.7500 [4 per cell]
4 Br 0.0000 0.0106 0.7436 [8 per cell]
5 Br 0.2333 0.2500 0.9985 [8 per cell]

Results
Distance to the lowest polymorph of the same formula, eV/atom: 0.0543
Energy relative to the elements, uncorrected, eV per formula unit: -10.17
DFT total energy, hartree per atom: -0.11696

# 2
Density functional theory data (PBE) for an optimized crystal structure of Li2MgBr.

Cell: 6.1140 8.5004 3.3961 Å, 90.00 90.00 90.00°
Space group Cmmm (No. 65)
Symmetry-distinct sites (fractional):
1 Li 0.2500 0.2500 0.0000 [4 per cell]
2 Mg 0.0000 0.0000 0.5000 [2 per cell]
3 Br 0.0000 0.5000 0.5000 [2 per cell]

Results
Distance to the lowest polymorph of the same formula, eV/atom: 0.1974
Energy relative to the elements, uncorrected, eV per formula unit: -1.66
DFT total energy, hartree per atom: -0.08043

- Look up the energy relative to the elements, uncorrected of the first one.
  -10.17 eV per formula unit